P:
ZnCr2Pt2: optimized geometry, PBE-GGA.

Output
* space-group type: P4/mbm
* crystal system: tetragonal
* size of the total moment: 1.09 μB/atom
* Fermi-level density of states: 11.96 states/eV/cell

Geometry as extended XYZ:
```
10
Lattice="7.4044 0.0000 0.0000 0.0000 7.4044 0.0000 0.0000 0.0000 2.8445" Properties=species:S:1:pos:R:3 pbc="T T T"
Pt 2.6904 6.3926 0.0000
Pt 1.0118 2.6904 0.0000
Pt 4.7141 1.0118 0.0000
Pt 6.3926 4.7141 0.0000
Cr 4.8955 6.2111 1.4222
Cr 2.5089 1.1933 1.4222
Cr 1.1933 4.8955 1.4222
Cr 6.2111 2.5089 1.4222
Zn 3.7022 3.7022 0.0000
Zn 0.0000 0.0000 0.0000
```

Q:
ZnCr2Pt2: optimized geometry, PBE-GGA.

Output
* space-group type: P4/mbm
* crystal system: tetragonal
* size of the total moment: 0.00 μB/atom
* Fermi-level density of states: 6.10 states/eV/cell

Geometry as extended XYZ:
```
10
Lattice="-5.4698 0.2350 -4.9399 3.5292 -4.9744 -4.1444 -1.2822 -2.0128 1.3240" Properties=species:S:1:pos:R:3 pbc="T T T"
Pt -1.6152 -1.9082 -1.6523
Pt 0.7438 -4.4209 -3.1877
Pt -1.6076 -4.8440 -6.1080
Pt -3.9666 -2.3312 -4.5726
Zn 0.0000 0.0000 0.0000
Zn -0.9703 -2.3697 -4.5422
Cr 0.9180 -1.9971 -2.1470
Cr -2.9174 -0.3283 -3.3246
Cr 0.9769 -4.4110 -5.7597
Cr -2.8586 -2.7423 -6.9373
```

Least stable = Q